## Rb3Ce3ErO8 (PBE)

Data for an optimized crystal structure of Rb3Ce3ErO8.

## Properties
- ρ (g cm⁻³) = 5.45
- energy (eV per atom) = -7.13
- D(E_F) (states/eV per atom) = 0.622

a b c (Å): 7.1789 7.1789 19.9154
angles (deg): 90.00 90.00 120.00
Space group R-3m (No. 166, hexagonal axes)
One atom of each set of equivalent atoms:
Rb  0.0000  0.5000  0.0000 [9 per cell]
Ce  0.0000  0.5000  0.5000 [9 per cell]
Er  0.0000  0.0000  0.5000 [3 per cell]
O  0.0000  0.0000  0.2256 [6 per cell]
O  0.0091  0.5046  0.2216 [18 per cell]